Record 1
Crystalline LaCd4Ag at its relaxed geometry. Source: Alexandria, functional PBE.

Lattice parameters (Å, degrees): 5.9143 5.9143 5.9143 60.00 60.00 60.00
Fractional coordinates of all 6 atoms:
Ag 0.0000 0.0000 0.0000
Cd 0.8759 0.3747 0.3747
La 0.7500 0.7500 0.7500
Cd 0.3747 0.3747 0.8759
Cd 0.3747 0.8759 0.3747
Cd 0.3747 0.3747 0.3747

Values from the calculation:
The calculation puts the distance to the lowest polymorph of the same formula at 109 meV per atom.

Record 2
Crystalline VBSN2 at its relaxed geometry. Source: Alexandria, functional PBE.

Lattice parameters (Å, degrees): 3.1566 3.1566 6.0613 90.00 90.00 90.00
Fractional coordinates of all 5 atoms:
S 0.0000 0.0000 0.5000
N 0.0000 0.5000 0.0000
B 0.0000 0.0000 0.0000
N 0.5000 0.0000 0.0000
V 0.5000 0.5000 0.5000

Values from the calculation:
The calculation puts the distance to the lowest polymorph of the same formula at 0 meV per atom. As for the formation energy (no corrections): 0.851 eV per atom.

Record 3
Crystalline TbNi7Ge2 at its relaxed geometry. Source: Alexandria, functional PBE.

Lattice parameters (Å, degrees): 4.3487 6.5603 6.5603 119.83 90.00 90.00
Fractional coordinates of all 10 atoms:
Tb 0.0000 0.0000 0.0000
Ni 0.5000 0.2990 0.0686
Ni 0.5000 0.5000 0.5000
Ge 0.5000 0.7016 0.2984
Ni 0.0000 0.2317 0.7683
Ni 0.5000 0.7010 0.9314
Ni 0.5000 0.0686 0.2990
Ge 0.5000 0.2984 0.7016
Ni 0.0000 0.7683 0.2317
Ni 0.5000 0.9314 0.7010

Values from the calculation:
The electronic total energy comes out at -5.346 eV per atom.

Record 4
Crystalline YZnFeMo2 at its relaxed geometry. Source: Alexandria, functional PBE.

Lattice parameters (Å, degrees): 4.5849 5.0805 4.5849 90.00 90.00 90.00
Last column: magnetic moment on the atom in μB.
Fractional coordinates of all 5 atoms:
Mo 0.0000 0.0000 0.5000  0.26
Fe 0.5000 0.5000 0.5000  -0.04
Zn 0.0000 0.0000 0.0000  0.01
Y 0.0000 0.5000 0.0000  0.01
Mo 0.5000 0.0000 0.0000  0.23

Values from the calculation:
The electronic total energy comes out at -5.823 eV per atom.

Spin magnetization values, unit μB per formula unit, following the record order: 0.00, 0.00, 0.00, 0.53.
N(E_F) values, unit states/eV/cell, following the record order: 4.984, 5.244, 9.541, 10.091.